No. 1
VASP calculation (GGA-PBE) on an optimized crystal structure of TbZnGaAu.

It has space group F-43m (No. 216), with a = 6.802 Å, b = 6.802 Å, c = 6.802 Å, α = 90.00°, β = 90.00° and γ = 90.00°. The distinct sites, in fractional coordinates, are Tb at (0.000, 0.000, 0.000), Zn at (0.250, 0.250, 0.250), Ga at (0.000, 0.000, 0.500) and Au at (0.250, 0.250, 0.750).

The calculation puts the energy of formation from the pure elements at -0.50 eV per atom.

No. 2
VASP calculation (GGA-PBE) on an optimized crystal structure of WAuBr2.

It has space group Imm2 (No. 44), with a = 3.062 Å, b = 4.865 Å, c = 13.394 Å, α = 90.00°, β = 90.00° and γ = 90.00°. The distinct sites, in fractional coordinates, are W at (0.000, 0.000, 0.000), Au at (0.000, 0.500, 0.672), Br at (0.000, 0.000, 0.514) and Br at (0.000, 0.500, 0.342).

The calculation puts the uncorrected formation energy at 2.27 eV per formula unit. Its polymorph energy (0 for the lowest one) is 0.3509 eV per atom.

No. 3
VASP calculation (GGA-PBE) on an optimized crystal structure of Tb4ThSc.

It has space group C2/m (No. 12), with a = 11.140 Å, b = 5.022 Å, c = 6.935 Å, α = 90.00°, β = 108.09° and γ = 90.00°. The distinct sites, in fractional coordinates, are Tb at (0.163, 0.000, 0.331), Tb at (0.163, 0.000, 0.833), Th at (0.000, 0.500, 0.000) and Sc at (0.000, 0.500, 0.500).

Its polymorph energy (0 for the lowest one) is 0.0093 eV per atom. The calculation puts the energy of formation from the pure elements at 0.04 eV per atom.

No. 4
VASP calculation (GGA-PBE) on an optimized crystal structure of NaYAu2N.

It has space group P4/mmm (No. 123), with a = 4.810 Å, b = 4.810 Å, c = 4.446 Å, α = 90.00°, β = 90.00° and γ = 90.00°. The distinct sites, in fractional coordinates, are Na at (0.000, 0.000, 0.000), Y at (0.500, 0.500, 0.000), Au at (0.000, 0.500, 0.500) and N at (0.500, 0.500, 0.500).

The calculation puts the uncorrected formation energy at -0.41 eV per formula unit.

No. 5
VASP calculation (GGA-PBE) on an optimized crystal structure of La6Sm2DyMg.

It has space group C2/c (No. 15), with a = 10.677 Å, b = 13.873 Å, c = 9.475 Å, α = 90.00°, β = 98.36° and γ = 90.00°. The distinct sites, in fractional coordinates, are La at (0.057, 0.122, 0.100), La at (0.087, 0.334, 0.917), La at (0.246, 0.288, 0.326), Sm at (0.231, 0.467, 0.593), Dy at (0.000, 0.430, 0.250) and Mg at (0.000, 0.095, 0.750).

The calculation puts the energy of formation from the pure elements at 0.09 eV per atom.

No. 6
VASP calculation (GGA-PBE) on an optimized crystal structure of MnAsH.

It has space group P1 (No. 1), with a = 2.817 Å, b = 2.817 Å, c = 12.710 Å, α = 92.16°, β = 93.33° and γ = 119.92°. The distinct sites, in fractional coordinates, are Mn at (0.000, 0.000, 0.000), Mn at (0.403, 0.726, 0.149), As at (0.140, 0.121, 0.302), As at (0.595, 0.272, 0.844), H at (0.661, 0.870, 0.596) and H at (0.784, 0.789, 0.552).

Its polymorph energy (0 for the lowest one) is 0.0889 eV per atom.

No. 7
VASP calculation (GGA-PBE) on an optimized crystal structure of PdSeNF2.

It has space group P4/mmm (No. 123), with a = 4.231 Å, b = 4.231 Å, c = 3.983 Å, α = 90.00°, β = 90.00° and γ = 90.00°. The distinct sites, in fractional coordinates, are Pd at (0.000, 0.000, 0.000), Se at (0.500, 0.500, 0.500), N at (0.000, 0.000, 0.500) and F at (0.000, 0.500, 0.000).

The calculation puts the uncorrected formation energy at 1.51 eV per formula unit. Its polymorph energy (0 for the lowest one) is 0.0100 eV per atom.

No. 8
VASP calculation (GGA-PBE) on an optimized crystal structure of MgCd2Cu.

It has space group I4/mmm (No. 139), with a = 4.264 Å, b = 4.264 Å, c = 8.213 Å, α = 90.00°, β = 90.00° and γ = 90.00°. The distinct sites, in fractional coordinates, are Mg at (0.000, 0.000, 0.000), Cd at (0.000, 0.500, 0.250) and Cu at (0.000, 0.000, 0.500).

The calculation puts the energy of formation from the pure elements at 0.00 eV per atom.

No. 9
VASP calculation (GGA-PBE) on an optimized crystal structure of CaFe5Si3.

It has space group Cmcm (No. 63), with a = 3.686 Å, b = 12.135 Å, c = 11.497 Å, α = 90.00°, β = 90.00° and γ = 90.00°. The distinct sites, in fractional coordinates, are Ca at (0.000, 0.166, 0.250), Fe at (0.000, 0.000, 0.000), Fe at (0.000, 0.190, 0.558), Fe at (0.000, 0.448, 0.142), Si at (0.000, 0.117, 0.750) and Si at (0.000, 0.378, 0.551).

The calculation puts the uncorrected formation energy at -2.90 eV per formula unit.

No. 10
VASP calculation (GGA-PBE) on an optimized crystal structure of Cd2Sn2Ge.

It has space group P4/mbm (No. 127), with a = 8.594 Å, b = 8.594 Å, c = 3.454 Å, α = 90.00°, β = 90.00° and γ = 90.00°. The distinct sites, in fractional coordinates, are Cd at (0.122, 0.378, 0.000), Sn at (0.180, 0.680, 0.500) and Ge at (0.000, 0.000, 0.500).

Its polymorph energy (0 for the lowest one) is 0.0393 eV per atom. The calculation puts the energy of formation from the pure elements at 0.23 eV per atom.

No. 11
VASP calculation (GGA-PBE) on an optimized crystal structure of SbP3.

It has space group I4/mmm (No. 139), with a = 3.446 Å, b = 3.446 Å, c = 25.113 Å, α = 90.00°, β = 90.00° and γ = 90.00°. The distinct sites, in fractional coordinates, are Sb at (0.000, 0.000, 0.144), P at (0.000, 0.000, 0.410), P at (0.000, 0.500, 0.000) and P at (0.000, 0.500, 0.250).

The calculation puts the uncorrected formation energy at 1.90 eV per formula unit. Its polymorph energy (0 for the lowest one) is 0.2778 eV per atom.

No. 12
VASP calculation (GGA-PBE) on an optimized crystal structure of DyZrOs.

It has space group P2_1/m (No. 11), with a = 5.395 Å, b = 4.777 Å, c = 5.936 Å, α = 90.00°, β = 107.83° and γ = 90.00°. The distinct sites, in fractional coordinates, are Dy at (0.196, 0.250, 0.405), Zr at (0.343, 0.750, 0.035) and Os at (0.125, 0.250, 0.876).

Its polymorph energy (0 for the lowest one) is 0.0024 eV per atom. The calculation puts the energy of formation from the pure elements at -0.17 eV per atom.

No. 13
VASP calculation (GGA-PBE) on an optimized crystal structure of RbLiTm2F8.

It has space group P-1 (No. 2), with a = 4.214 Å, b = 6.349 Å, c = 7.183 Å, α = 84.73°, β = 86.25° and γ = 89.65°. The distinct sites, in fractional coordinates, are Rb at (0.000, 0.000, 0.000), Li at (0.000, 0.000, 0.500), Tm at (0.430, 0.458, 0.259), F at (0.066, 0.448, 0.769), F at (0.206, 0.155, 0.311), F at (0.377, 0.689, 0.470) and F at (0.460, 0.697, 0.007).

The calculation puts the uncorrected formation energy at -44.50 eV per formula unit.

No. 14
VASP calculation (GGA-PBE) on an optimized crystal structure of Na2Li2Pm3Pb4.

It has space group P-3m1 (No. 164), with a = 4.8243 Å, b = 4.8243 Å, c = 15.9411 Å, α = 90.00°, β = 90.00° and γ = 120.00°. The distinct sites, in fractional coordinates, are Na at (0.3333, 0.6667, 0.0617), Li at (0.3333, 0.6667, 0.6322), Pm at (0.0000, 0.0000, 0.2547), Pm at (0.0000, 0.0000, 0.5000), Pb at (0.3333, 0.6667, 0.3835) and Pb at (0.3333, 0.6667, 0.8452).

The calculation puts the energy of formation from the pure elements at -0.32 eV per atom.

No. 15
VASP calculation (GGA-PBE) on an optimized crystal structure of CePaGe6.

It has space group P4/mmm (No. 123), with a = 4.296 Å, b = 4.296 Å, c = 8.606 Å, α = 90.00°, β = 90.00° and γ = 90.00°. The distinct sites, in fractional coordinates, are Ce at (0.000, 0.000, 0.000), Pa at (0.000, 0.000, 0.500), Ge at (0.000, 0.500, 0.252), Ge at (0.500, 0.500, 0.000) and Ge at (0.500, 0.500, 0.500).

The calculation puts the energy of formation from the pure elements at -0.48 eV per atom.

No. 16
VASP calculation (GGA-PBE) on an optimized crystal structure of KLaMg2Nb.

It has space group P4/mmm (No. 123), with a = 5.222 Å, b = 5.222 Å, c = 5.537 Å, α = 90.00°, β = 90.00° and γ = 90.00°. The distinct sites, in fractional coordinates, are K at (0.000, 0.000, 0.000), La at (0.000, 0.000, 0.500), Mg at (0.000, 0.500, 0.000) and Nb at (0.500, 0.500, 0.500).

The calculation puts the energy of formation from the pure elements at 1.60 eV per atom.

No. 17
VASP calculation (GGA-PBE) on an optimized crystal structure of La2NiGePd6.

It has space group C2/m (No. 12), with a = 11.953 Å, b = 5.465 Å, c = 8.473 Å, α = 90.00°, β = 133.78° and γ = 90.00°. The distinct sites, in fractional coordinates, are La at (0.236, 0.000, 0.208), Ni at (0.000, 0.500, 0.000), Ge at (0.000, 0.000, 0.500), Pd at (0.013, 0.254, 0.757) and Pd at (0.248, 0.500, 0.400).

The calculation puts the energy of formation from the pure elements at -0.61 eV per atom.

No. 18
VASP calculation (GGA-PBE) on an optimized crystal structure of TmLuHgGe.

It has space group F-43m (No. 216), with a = 7.175 Å, b = 7.175 Å, c = 7.175 Å, α = 90.00°, β = 90.00° and γ = 90.00°. The distinct sites, in fractional coordinates, are Tm at (0.000, 0.000, 0.000), Lu at (0.000, 0.000, 0.500), Hg at (0.250, 0.250, 0.250) and Ge at (0.250, 0.250, 0.750).

The calculation puts the energy of formation from the pure elements at -0.51 eV per atom.

No. 19
VASP calculation (GGA-PBE) on an optimized crystal structure of Bi3SbPt2.

It has space group P-3m1 (No. 164), with a = 8.3171 Å, b = 8.3171 Å, c = 5.4988 Å, α = 90.00°, β = 90.00° and γ = 120.00°. The distinct sites, in fractional coordinates, are Bi at (0.1672, 0.3344, 0.2594), Sb at (0.3333, 0.6667, 0.7746), Pt at (0.0000, 0.0000, 0.0000) and Pt at (0.0000, 0.5000, 0.0000).

The calculation puts the uncorrected formation energy at -1.52 eV per formula unit. Its polymorph energy (0 for the lowest one) is 0.0561 eV per atom.

No. 20
VASP calculation (GGA-PBE) on an optimized crystal structure of MnCr2Fe2.

It has space group P4/mbm (No. 127), with a = 6.704 Å, b = 6.704 Å, c = 2.516 Å, α = 90.00°, β = 90.00° and γ = 90.00°. The distinct sites, in fractional coordinates, are Mn at (0.000, 0.000, 0.000), Cr at (0.126, 0.374, 0.000) and Fe at (0.175, 0.675, 0.500).

Its polymorph energy (0 for the lowest one) is 0.0591 eV per atom. The calculation puts the energy of formation from the pure elements at 0.34 eV per atom.

No. 21
VASP calculation (GGA-PBE) on an optimized crystal structure of LiVHg.

It has space group P6_3/mmc (No. 194), with a = 4.5622 Å, b = 4.5622 Å, c = 5.6962 Å, α = 90.00°, β = 90.00° and γ = 120.00°. The distinct sites, in fractional coordinates, are Li at (0.3333, 0.6667, 0.2500), V at (0.3333, 0.6667, 0.7500) and Hg at (0.0000, 0.0000, 0.0000).

Its polymorph energy (0 for the lowest one) is 0.3839 eV per atom. The calculation puts the energy of formation from the pure elements at 0.42 eV per atom.

No. 22
VASP calculation (GGA-PBE) on an optimized crystal structure of TiAuCl3.

It has space group Pm-3m (No. 221), with a = 4.819 Å, b = 4.819 Å, c = 4.819 Å, α = 90.00°, β = 90.00° and γ = 90.00°. The distinct sites, in fractional coordinates, are Ti at (0.000, 0.000, 0.000), Au at (0.500, 0.500, 0.500) and Cl at (0.000, 0.000, 0.500).

The calculation puts the uncorrected formation energy at -2.99 eV per formula unit. Its polymorph energy (0 for the lowest one) is 0.0000 eV per atom.

No. 23
VASP calculation (GGA-PBE) on an optimized crystal structure of U2PaC4.

It has space group I-42d (No. 122), with a = 7.381 Å, b = 7.381 Å, c = 7.273 Å, α = 90.00°, β = 90.00° and γ = 90.00°. The distinct sites, in fractional coordinates, are U at (0.122, 0.250, 0.125), Pa at (0.000, 0.000, 0.500) and C at (0.063, 0.182, 0.820).

The calculation puts the energy of formation from the pure elements at 0.08 eV per atom.